Material: TaBeAg2
Method: DFT, PBE
State: relaxed

Summary:
ΔH_f (0 K) in eV/atom: 0.346

a = 3.320 Å, b = 4.389 Å, c = 8.586 Å
α = 90.00°, β = 90.00°, γ = 90.00°
Space group Cmmm (No. 65)
Unique sites:
Ta: 0.000 0.000 0.000 (multiplicity 2)
Be: 0.000 0.000 0.500 (multiplicity 2)
Ag: 0.000 0.500 0.286 (multiplicity 4)

***

Material: Sn2Pt2Se
Method: DFT, PBE
State: relaxed

Summary:
Energy above the most stable polymorph in this dataset in eV/f.u.: 0.95

a = 4.456 Å, b = 4.456 Å, c = 11.373 Å
α = 90.00°, β = 90.00°, γ = 90.00°
Space group I4/mmm (No. 139)
Unique sites:
Sn: 0.000 0.500 0.250 (multiplicity 4)
Pt: 0.000 0.000 0.117 (multiplicity 4)
Se: 0.000 0.000 0.500 (multiplicity 2)

***

Material: RbMg7
Method: DFT, PBE
State: relaxed

Summary:
ΔH_f (0 K) in eV/atom: 0.265
Energy above the most stable polymorph in this dataset in eV/f.u.: 0.33

a = 9.664 Å, b = 9.664 Å, c = 9.664 Å
α = 90.00°, β = 90.00°, γ = 90.00°
Space group Fm-3m (No. 225)
Unique sites:
Rb: 0.000 0.000 0.000 (multiplicity 4)
Mg: 0.000 0.000 0.500 (multiplicity 4)
Mg: 0.000 0.250 0.250 (multiplicity 24)

***

Calculated total magnetization (μB/atom), listed in the same order as above: 0.00 0.00 0.00